Nd3Al3Cu2 | Alexandria | PBE | relaxed; space group = No. 62; energy relative to the lowest polymorph listed for this composition = 0.18 eV per formula unit
1.0
8.332 0.000 0.000
0.000 15.235 0.000
0.000 0.000 5.655
Nd Al Cu
12 12 8
direct
0.044 0.112 0.115
0.044 0.388 0.115
0.194 0.250 0.595
0.306 0.750 0.095
0.456 0.612 0.615
0.456 0.888 0.615
0.544 0.112 0.385
0.544 0.388 0.385
0.694 0.250 0.905
0.806 0.750 0.405
0.956 0.612 0.885
0.956 0.888 0.885
0.158 0.750 0.582
0.186 0.034 0.614
0.186 0.466 0.614
0.314 0.534 0.114
0.314 0.966 0.114
0.342 0.250 0.082
0.658 0.750 0.918
0.686 0.034 0.886
0.686 0.466 0.886
0.814 0.534 0.386
0.814 0.966 0.386
0.842 0.250 0.418
0.099 0.602 0.377
0.099 0.898 0.377
0.401 0.102 0.877
0.401 0.398 0.877
0.599 0.602 0.123
0.599 0.898 0.123
0.901 0.102 0.623
0.901 0.398 0.623